Sm2YEr5Sc | PBE | relaxed

The calculation puts the formation energy at 280.8 meV/atom. The calculation puts the total DFT energy (no corrections) at -85.0 eV for the cell shown.

abc: 9.7854 9.7854 9.7854
angles: 128.52 128.52 75.78
Sites, in units of the cell vectors:
Sm 0.1190 0.6190 0.7380
Sm 0.3810 0.1190 0.5000
Sm 0.6190 0.8810 0.5000
Sm 0.8810 0.3810 0.2620
Y 0.2500 0.2500 0.0000
Y 0.7500 0.7500 0.0000
Er 0.0000 0.0000 0.0000
Er 0.0664 0.1507 0.5000
Er 0.1507 0.6507 0.0843
Er 0.3493 0.4336 0.5000
Er 0.4336 0.9336 0.0843
Er 0.5000 0.5000 0.0000
Er 0.5664 0.0664 0.9157
Er 0.6507 0.5664 0.5000
Er 0.8493 0.3493 0.9157
Er 0.9336 0.8493 0.5000
Sc 0.2500 0.7500 0.5000
Sc 0.7500 0.2500 0.5000

---

LiCa2TiCl | PBE | relaxed

The formation energy without anion corrections comes out at 0.4395 eV per atom. The calculation puts the total DFT energy (no corrections) at -13.5 eV for the cell shown.

abc: 6.0095 6.0095 4.9810
angles: 90.00 90.00 90.00
Sites, in units of the cell vectors:
Li 0.0000 0.0000 0.0000
Ca 0.0000 0.5000 0.5000
Ca 0.5000 0.0000 0.5000
Ti 0.0000 0.0000 0.5000
Cl 0.5000 0.5000 0.0000

---

GdInGa | PBE | relaxed

The calculation puts the formation energy at -398.3 meV/atom. The calculation puts the total DFT energy (no corrections) at -21.0 eV for the cell shown.

abc: 4.7649 4.7649 4.7649
angles: 60.00 60.00 60.00
Sites, in units of the cell vectors:
Gd 0.0000 0.0000 0.0000
In 0.5000 0.5000 0.5000
Ga 0.7500 0.7500 0.7500

---

BPBrO2 | PBE | relaxed

The formation energy without anion corrections comes out at 0.2835 eV per atom. The calculation puts the total DFT energy (no corrections) at -22.3 eV for the cell shown.

abc: 3.3051 3.3051 5.9980
angles: 90.00 90.00 90.00
Sites, in units of the cell vectors:
B 0.0000 0.0000 0.0000
P 0.0000 0.0000 0.5000
Br 0.5000 0.5000 0.5000
O 0.0000 0.5000 0.0000
O 0.5000 0.0000 0.0000

---

MnPt2CI | PBE | relaxed

The formation energy without anion corrections comes out at 1.9458 eV per atom. The calculation puts the total DFT energy (no corrections) at -22.3 eV for the cell shown.

abc: 5.0382 5.0382 4.1827
angles: 90.00 90.00 90.00
Sites, in units of the cell vectors:
Mn 0.0000 0.0000 0.0000
Pt 0.0000 0.5000 0.5000
Pt 0.5000 0.0000 0.5000
C 0.5000 0.5000 0.0000
I 0.5000 0.5000 0.5000